Record 1
Density functional theory data (SCAN) for Fe2CuPb at its PBEsol-relaxed geometry.

Geometry as CIF:
```
data_Fe2CuPb
_symmetry_space_group_name_H-M 'P 4/m m m'
_symmetry_Int_Tables_number 123
_symmetry_space_group_name_Hall '-P 4 2'
_cell_length_a 3.7586
_cell_length_b 3.7586
_cell_length_c 4.0455
_cell_angle_alpha 90.00
_cell_angle_beta 90.00
_cell_angle_gamma 90.00
loop_
_atom_site_label
_atom_site_type_symbol
_atom_site_fract_x
_atom_site_fract_y
_atom_site_fract_z
Fe1 Fe 0.0000 0.5000 0.0000
Cu1 Cu 0.0000 0.0000 0.5000
Pb1 Pb 0.5000 0.5000 0.5000
```

**Formation energy**: 1.28 eV/f.u.
**Energy**: -31.49 eV/atom

Record 2
Density functional theory data (SCAN) for FeCuPt at its PBEsol-relaxed geometry.

Geometry as CIF:
```
data_FeCuPt
_symmetry_space_group_name_H-M 'P 3 m 1'
_symmetry_Int_Tables_number 156
_symmetry_space_group_name_Hall 'P 3 -2"'
_cell_length_a 4.1259
_cell_length_b 4.1259
_cell_length_c 2.6048
_cell_angle_alpha 90.00
_cell_angle_beta 90.00
_cell_angle_gamma 120.00
loop_
_atom_site_label
_atom_site_type_symbol
_atom_site_fract_x
_atom_site_fract_y
_atom_site_fract_z
Fe1 Fe 0.0000 0.0000 0.0000
Cu1 Cu 0.3333 0.6667 0.1989
Pt1 Pt 0.6667 0.3333 0.5954
```

**Distance to the lowest polymorph of the same formula**: 88 meV per atom
**Formation energy**: -0.57 eV/f.u.
**Energy**: -34.70 eV/atom

Record 3
Density functional theory data (SCAN) for Fe2CuPt at its PBEsol-relaxed geometry.

Geometry as CIF:
```
data_Fe2CuPt
_symmetry_space_group_name_H-M 'I -4 m 2'
_symmetry_Int_Tables_number 119
_symmetry_space_group_name_Hall 'I -4 -2'
_cell_length_a 3.7151
_cell_length_b 3.7151
_cell_length_c 7.1697
_cell_angle_alpha 90.00
_cell_angle_beta 90.00
_cell_angle_gamma 90.00
loop_
_atom_site_label
_atom_site_type_symbol
_atom_site_fract_x
_atom_site_fract_y
_atom_site_fract_z
Fe1 Fe 0.0000 0.0000 0.0000
Fe2 Fe 0.0000 0.5000 0.2500
Cu1 Cu 0.0000 0.5000 0.7500
Pt1 Pt 0.0000 0.0000 0.5000
```

**Formation energy**: -0.78 eV/f.u.
**Energy**: -30.61 eV/atom

> Which value of energy does entry 2 give?

-34.70 eV/atom